Density functional theory data (PBE) for a geometry-optimized TbHo2TmRh4 structure.

N(E_F) in states/eV/cell: 9.75
Energy in eV/atom: -6.8694

Cell and atoms, written as CIF:
```
data_TbHo2TmRh4
_chemical_formula_sum 'Tb3 Ho6 Tm3 Rh12'
_symmetry_space_group_name_H-M 'R -3 m'
_symmetry_Int_Tables_number 166
_symmetry_space_group_name_Hall '-R 3 2"'
_cell_length_a 4.8194
_cell_length_b 4.8194
_cell_length_c 23.6460
_cell_angle_alpha 90.00
_cell_angle_beta 90.00
_cell_angle_gamma 120.00
loop_
_atom_site_label
_atom_site_fract_x
_atom_site_fract_y
_atom_site_fract_z
_atom_site_occupancy
Tb1 0.0000 0.0000 0.0000 1
Ho1 0.0000 0.0000 0.2493 1
Tm1 0.0000 0.0000 0.5000 1
Rh1 0.0000 0.0000 0.1259 1
Rh2 0.0000 0.0000 0.3759 1
```